Record 1
Computed, not measured: an optimized crystal structure of HoSiAsO at the PBE level of DFT.

Its excess energy over the best structure of this formula in the dataset is 79 meV per atom. As for the space group: No. 129. As for the final energy: -6.3051 eV per atom. As for the volume: 143 Å³/cell.

Geometry as POSCAR:
```
HoSiAsO
1.0
3.9386 0.0000 0.0000
0.0000 3.9386 0.0000
0.0000 0.0000 9.2102
Ho Si As O
2 2 2 2
Direct
0.2500 0.2500 0.1157
0.7500 0.7500 0.8843
0.2500 0.7500 0.5000
0.7500 0.2500 0.5000
0.2500 0.2500 0.6913
0.7500 0.7500 0.3087
0.2500 0.7500 0.0000
0.7500 0.2500 0.0000
```

***

Record 2
Computed, not measured: an optimized crystal structure of HoSiAsO at the PBE level of DFT.

Its excess energy over the best structure of this formula in the dataset is 613 meV per atom. As for the space group: No. 129. As for the final energy: -5.7717 eV per atom. As for the volume: 153 Å³/cell.

Geometry as POSCAR:
```
HoSiAsO
1.0
5.7043 0.0000 0.0000
0.0000 5.7043 0.0000
0.0000 0.0000 4.6877
Ho Si As O
2 2 2 2
Direct
0.2500 0.7500 0.0000
0.7500 0.2500 0.0000
0.2500 0.2500 0.4962
0.7500 0.7500 0.5038
0.2500 0.2500 0.9961
0.7500 0.7500 0.0039
0.2500 0.7500 0.5000
0.7500 0.2500 0.5000
```

***

Record 3
Computed, not measured: an optimized crystal structure of HoSiAsO at the PBE level of DFT.

Its excess energy over the best structure of this formula in the dataset is 154 meV per atom. As for the space group: No. 26. As for the final energy: -6.2303 eV per atom. As for the volume: 136 Å³/cell.

Geometry as POSCAR:
```
HoSiAsO
1.0
3.8995 0.0000 0.0000
0.0000 5.8774 0.0000
0.0000 0.0000 5.9195
Ho Si As O
2 2 2 2
Direct
0.0000 0.2347 0.0000
0.0000 0.7653 0.5000
0.5000 0.3858 0.3755
0.5000 0.6142 0.8755
0.5000 0.0931 0.6693
0.5000 0.9069 0.1693
0.0000 0.4148 0.3409
0.0000 0.5852 0.8409
```

***

Record 4
Computed, not measured: an optimized crystal structure of HoSiAsO at the PBE level of DFT.

Its excess energy over the best structure of this formula in the dataset is 0 meV per atom. As for the space group: No. 26. As for the final energy: -6.3845 eV per atom. As for the volume: 156 Å³/cell.

Geometry as POSCAR:
```
HoSiAsO
1.0
3.6930 0.0000 0.0000
0.0000 6.0069 0.0000
0.0000 0.0000 7.0259
Ho Si As O
2 2 2 2
Direct
0.0000 0.2395 0.0000
0.0000 0.7605 0.5000
0.5000 0.1263 0.6074
0.5000 0.8737 0.1074
0.0000 0.2728 0.4199
0.0000 0.7272 0.9199
0.5000 0.2546 0.8224
0.5000 0.7454 0.3224
```

***

Record 5
Computed, not measured: an optimized crystal structure of HoSiAsO at the PBE level of DFT.

Its excess energy over the best structure of this formula in the dataset is 73 meV per atom. As for the space group: No. 129. As for the final energy: -6.3112 eV per atom. As for the volume: 143 Å³/cell.

Geometry as POSCAR:
```
HoSiAsO
1.0
3.8210 0.0000 0.0000
0.0000 3.8210 0.0000
0.0000 0.0000 9.7722
Ho Si As O
2 2 2 2
Direct
0.2500 0.2500 0.1141
0.7500 0.7500 0.8859
0.2500 0.7500 0.5000
0.7500 0.2500 0.5000
0.2500 0.2500 0.6988
0.7500 0.7500 0.3012
0.2500 0.7500 0.0000
0.7500 0.2500 0.0000
```

***

Record 6
Computed, not measured: an optimized crystal structure of SmHoAsO at the PBE level of DFT.

Its excess energy over the best structure of this formula in the dataset is 150 meV per atom. As for the space group: No. 129. As for the final energy: -6.5483 eV per atom. As for the volume: 167 Å³/cell.

Geometry as POSCAR:
```
SmHoAsO
1.0
4.3018 0.0000 0.0000
0.0000 4.3018 0.0000
0.0000 0.0000 9.0381
Sm Ho As O
2 2 2 2
Direct
0.2500 0.7500 0.0000
0.7500 0.2500 0.0000
0.2500 0.2500 0.4030
0.7500 0.7500 0.5970
0.2500 0.2500 0.7845
0.7500 0.7500 0.2155
0.2500 0.7500 0.5000
0.7500 0.2500 0.5000
```

***

Record 7
Computed, not measured: an optimized crystal structure of SmHoAsO at the PBE level of DFT.

Its excess energy over the best structure of this formula in the dataset is 69 meV per atom. As for the space group: No. 129. As for the final energy: -6.6294 eV per atom. As for the volume: 171 Å³/cell.

Geometry as POSCAR:
```
SmHoAsO
1.0
4.3715 0.0000 0.0000
0.0000 4.3715 0.0000
0.0000 0.0000 8.9223
Sm Ho As O
2 2 2 2
Direct
0.2500 0.2500 0.1073
0.7500 0.7500 0.8927
0.2500 0.7500 0.5000
0.7500 0.2500 0.5000
0.2500 0.2500 0.6999
0.7500 0.7500 0.3001
0.2500 0.7500 0.0000
0.7500 0.2500 0.0000
```

***

Record 8
Computed, not measured: an optimized crystal structure of SmHoAsO at the PBE level of DFT.

Its excess energy over the best structure of this formula in the dataset is 44 meV per atom. As for the space group: No. 26. As for the final energy: -6.6547 eV per atom. As for the volume: 189 Å³/cell.

Geometry as POSCAR:
```
SmHoAsO
1.0
4.1497 0.0000 0.0000
0.0000 7.8970 0.0000
0.0000 0.0000 5.7532
Sm Ho As O
2 2 2 2
Direct
0.0000 0.1186 0.0000
0.0000 0.8814 0.5000
0.5000 0.2890 0.4505
0.5000 0.7110 0.9505
0.5000 0.3529 0.9454
0.5000 0.6471 0.4454
0.0000 0.1757 0.4033
0.0000 0.8243 0.9033
```

***

Record 9
Computed, not measured: an optimized crystal structure of SmHoAsO at the PBE level of DFT.

Its excess energy over the best structure of this formula in the dataset is 0 meV per atom. As for the space group: No. 26. As for the final energy: -6.6983 eV per atom. As for the volume: 194 Å³/cell.

Geometry as POSCAR:
```
SmHoAsO
1.0
4.2498 0.0000 0.0000
0.0000 7.5863 0.0000
0.0000 0.0000 6.0324
Sm Ho As O
2 2 2 2
Direct
0.0000 0.2059 0.0000
0.0000 0.7941 0.5000
0.5000 0.3919 0.5792
0.5000 0.6081 0.0792
0.0000 0.1729 0.4912
0.0000 0.8271 0.9912
0.5000 0.3355 0.9392
0.5000 0.6645 0.4392
```

***

Record 10
Computed, not measured: an optimized crystal structure of HoSnAsO at the PBE level of DFT.

Its excess energy over the best structure of this formula in the dataset is 122 meV per atom. As for the space group: No. 26. As for the final energy: -5.8766 eV per atom. As for the volume: 192 Å³/cell.

Geometry as POSCAR:
```
HoSnAsO
1.0
4.9012 0.0000 0.0000
0.0000 6.2177 0.0000
0.0000 0.0000 6.2924
Ho Sn As O
2 2 2 2
Direct
0.0000 0.1556 0.0000
0.0000 0.8444 0.5000
0.5000 0.2548 0.3689
0.5000 0.7452 0.8689
0.5000 0.2814 0.8023
0.5000 0.7186 0.3023
0.0000 0.1431 0.3428
0.0000 0.8569 0.8428
```

***

Record 11
Computed, not measured: an optimized crystal structure of HoSnAsO at the PBE level of DFT.

Its excess energy over the best structure of this formula in the dataset is 4 meV per atom. As for the space group: No. 26. As for the final energy: -5.9942 eV per atom. As for the volume: 205 Å³/cell.

Geometry as POSCAR:
```
HoSnAsO
1.0
3.9573 0.0000 0.0000
0.0000 8.7064 0.0000
0.0000 0.0000 5.9518
Ho Sn As O
2 2 2 2
Direct
0.0000 0.1573 0.0000
0.0000 0.8427 0.5000
0.5000 0.3646 0.6126
0.5000 0.6354 0.1126
0.0000 0.1702 0.4877
0.0000 0.8298 0.9877
0.5000 0.2462 0.9470
0.5000 0.7538 0.4470
```

***

Record 12
Computed, not measured: an optimized crystal structure of HoSnAsO at the PBE level of DFT.

Its excess energy over the best structure of this formula in the dataset is 425 meV per atom. As for the space group: No. 129. As for the final energy: -5.5735 eV per atom. As for the volume: 163 Å³/cell.

Geometry as POSCAR:
```
HoSnAsO
1.0
5.5005 0.0000 0.0000
0.0000 5.5005 0.0000
0.0000 0.0000 5.3746
Ho Sn As O
2 2 2 2
Direct
0.2500 0.7500 0.0000
0.7500 0.2500 0.0000
0.2500 0.2500 0.4874
0.7500 0.7500 0.5126
0.2500 0.2500 0.9813
0.7500 0.7500 0.0187
0.2500 0.7500 0.5000
0.7500 0.2500 0.5000
```

***

Record 13
Computed, not measured: an optimized crystal structure of HoSnAsO at the PBE level of DFT.

Its excess energy over the best structure of this formula in the dataset is 0 meV per atom. As for the space group: No. 129. As for the final energy: -5.9983 eV per atom. As for the volume: 167 Å³/cell.

Geometry as POSCAR:
```
HoSnAsO
1.0
4.0761 0.0000 0.0000
0.0000 4.0761 0.0000
0.0000 0.0000 10.0433
Ho Sn As O
2 2 2 2
Direct
0.2500 0.2500 0.0998
0.7500 0.7500 0.9002
0.2500 0.7500 0.5000
0.7500 0.2500 0.5000
0.2500 0.2500 0.7294
0.7500 0.7500 0.2706
0.2500 0.7500 0.0000
0.7500 0.2500 0.0000
```

***

Record 14
Computed, not measured: an optimized crystal structure of TbHoAsO at the PBE level of DFT.

Its excess energy over the best structure of this formula in the dataset is 75 meV per atom. As for the space group: No. 129. As for the final energy: -6.6036 eV per atom. As for the volume: 165 Å³/cell.

Geometry as POSCAR:
```
TbHoAsO
1.0
4.3330 0.0000 0.0000
0.0000 4.3330 0.0000
0.0000 0.0000 8.7797
Tb Ho As O
2 2 2 2
Direct
0.2500 0.2500 0.1014
0.7500 0.7500 0.8986
0.2500 0.7500 0.5000
0.7500 0.2500 0.5000
0.2500 0.2500 0.7042
0.7500 0.7500 0.2958
0.2500 0.7500 0.0000
0.7500 0.2500 0.0000
```

***

Record 15
Computed, not measured: an optimized crystal structure of TbHoAsO at the PBE level of DFT.

Its excess energy over the best structure of this formula in the dataset is 0 meV per atom. As for the space group: No. 26. As for the final energy: -6.6789 eV per atom. As for the volume: 187 Å³/cell.

Geometry as POSCAR:
```
TbHoAsO
1.0
4.1798 0.0000 0.0000
0.0000 7.5518 0.0000
0.0000 0.0000 5.9306
Tb Ho As O
2 2 2 2
Direct
0.0000 0.2124 0.0000
0.0000 0.7876 0.5000
0.5000 0.3871 0.5723
0.5000 0.6129 0.0723
0.0000 0.1616 0.4890
0.0000 0.8384 0.9890
0.5000 0.3317 0.9376
0.5000 0.6683 0.4376
```

***

Record 16
Computed, not measured: an optimized crystal structure of TbHoAsO at the PBE level of DFT.

Its excess energy over the best structure of this formula in the dataset is 109 meV per atom. As for the space group: No. 129. As for the final energy: -6.5702 eV per atom. As for the volume: 164 Å³/cell.

Geometry as POSCAR:
```
TbHoAsO
1.0
4.3258 0.0000 0.0000
0.0000 4.3258 0.0000
0.0000 0.0000 8.7711
Tb Ho As O
2 2 2 2
Direct
0.2500 0.7500 0.0000
0.7500 0.2500 0.0000
0.2500 0.2500 0.4020
0.7500 0.7500 0.5980
0.2500 0.2500 0.7908
0.7500 0.7500 0.2092
0.2500 0.7500 0.5000
0.7500 0.2500 0.5000
```

***

Record 17
Computed, not measured: an optimized crystal structure of TbHoAsO at the PBE level of DFT.

Its excess energy over the best structure of this formula in the dataset is 76 meV per atom. As for the space group: No. 129. As for the final energy: -6.6033 eV per atom. As for the volume: 164 Å³/cell.

Geometry as POSCAR:
```
TbHoAsO
1.0
4.3278 0.0000 0.0000
0.0000 4.3278 0.0000
0.0000 0.0000 8.7761
Tb Ho As O
2 2 2 2
Direct
0.2500 0.2500 0.1032
0.7500 0.7500 0.8968
0.2500 0.7500 0.5000
0.7500 0.2500 0.5000
0.2500 0.2500 0.7046
0.7500 0.7500 0.2954
0.2500 0.7500 0.0000
0.7500 0.2500 0.0000
```

***

Record 18
Computed, not measured: an optimized crystal structure of TbHoAsO at the PBE level of DFT.

Its excess energy over the best structure of this formula in the dataset is 17 meV per atom. As for the space group: No. 26. As for the final energy: -6.6622 eV per atom. As for the volume: 185 Å³/cell.

Geometry as POSCAR:
```
TbHoAsO
1.0
4.1329 0.0000 0.0000
0.0000 7.6608 0.0000
0.0000 0.0000 5.8560
Tb Ho As O
2 2 2 2
Direct
0.0000 0.1133 0.0000
0.0000 0.8867 0.5000
0.5000 0.2903 0.4314
0.5000 0.7097 0.9314
0.5000 0.3438 0.9227
0.5000 0.6562 0.4227
0.0000 0.1754 0.3755
0.0000 0.8246 0.8755
```

***

Record 19
Computed, not measured: an optimized crystal structure of HoTcAsO at the PBE level of DFT.

Its excess energy over the best structure of this formula in the dataset is 536 meV per atom. As for the space group: No. 26. As for the final energy: -7.3864 eV per atom. As for the volume: 142 Å³/cell.

Geometry as POSCAR:
```
HoTcAsO
1.0
4.0954 0.0000 0.0000
0.0000 6.1431 0.0000
0.0000 0.0000 5.6485
Ho Tc As O
2 2 2 2
Direct
0.0000 0.1805 0.0000
0.0000 0.8195 0.5000
0.5000 0.4676 0.7680
0.5000 0.5324 0.2680
0.0000 0.3126 0.5119
0.0000 0.6874 0.0119
0.5000 0.2489 0.0619
0.5000 0.7511 0.5619
```

***

Record 20
Computed, not measured: an optimized crystal structure of HoTcAsO at the PBE level of DFT.

Its excess energy over the best structure of this formula in the dataset is 467 meV per atom. As for the space group: No. 26. As for the final energy: -7.4549 eV per atom. As for the volume: 129 Å³/cell.

Geometry as POSCAR:
```
HoTcAsO
1.0
4.3950 0.0000 0.0000
0.0000 4.6059 0.0000
0.0000 0.0000 6.3587
Ho Tc As O
2 2 2 2
Direct
0.0000 0.2154 0.0000
0.0000 0.7846 0.5000
0.5000 0.3586 0.3394
0.5000 0.6414 0.8394
0.5000 0.1462 0.6916
0.5000 0.8538 0.1916
0.0000 0.3615 0.3314
0.0000 0.6385 0.8314
```